Record 1
Mg2CdBi | GGA-PBE | optimized geometry

electronic total energy = -1.99 eV per atom

Cell and atoms, written as CIF:
```
data_Mg2CdBi
_chemical_formula_sum 'Mg8 Cd4 Bi4'
_symmetry_space_group_name_H-M 'F -4 3 m'
_symmetry_Int_Tables_number 216
_symmetry_space_group_name_Hall 'F -4 2 3'
_cell_length_a 7.403
_cell_length_b 7.403
_cell_length_c 7.403
_cell_angle_alpha 90.00
_cell_angle_beta 90.00
_cell_angle_gamma 90.00
loop_
_atom_site_label
_atom_site_type_symbol
_atom_site_fract_x
_atom_site_fract_y
_atom_site_fract_z
_atom_site_occupancy
Mg1 Mg 0.000 0.000 0.000 1
Mg2 Mg 0.250 0.250 0.250 1
Cd1 Cd 0.250 0.250 0.750 1
Bi1 Bi 0.000 0.000 0.500 1
```

Record 2
MgZnTeO | GGA-PBE | optimized geometry

offset from the most stable computed form = 0.509 eV/atom
electronic total energy = -3.51 eV per atom

Cell and atoms, written as CIF:
```
data_MgZnTeO
_chemical_formula_sum 'Mg2 Zn2 Te2 O2'
_symmetry_space_group_name_H-M 'P 4/n m m'
_symmetry_Int_Tables_number 129
_cell_length_a 3.407
_cell_length_b 3.407
_cell_length_c 11.589
_cell_angle_alpha 90.00
_cell_angle_beta 90.00
_cell_angle_gamma 90.00
loop_
_symmetry_equiv_pos_as_xyz
'x,y,z'
'-x,-y,-z'
'-y+1/2,x,z'
'y+1/2,-x,-z'
'-x+1/2,-y+1/2,z'
'x+1/2,y+1/2,-z'
'y,-x+1/2,z'
'-y,x+1/2,-z'
'x+1/2,-y,-z'
'-x+1/2,y,z'
'-y,-x,-z'
'y,x,z'
'-x,y+1/2,-z'
'x,-y+1/2,z'
'y+1/2,x+1/2,-z'
'-y+1/2,-x+1/2,z'
loop_
_atom_site_label
_atom_site_type_symbol
_atom_site_fract_x
_atom_site_fract_y
_atom_site_fract_z
_atom_site_occupancy
Mg1 Mg 0.250 0.250 0.085 1
Zn1 Zn 0.250 0.750 0.500 1
Te1 Te 0.250 0.250 0.691 1
O1 O 0.250 0.250 0.916 1
```

Record 3
TmUGa | GGA-PBE | optimized geometry

offset from the most stable computed form = 0.000 eV/atom
electronic total energy = -5.88 eV per atom
magnetization = 13.1 μB per cell

Cell and atoms, written as CIF:
```
data_TmUGa
_chemical_formula_sum 'Tm4 U4 Ga4'
_symmetry_space_group_name_H-M 'F -4 3 m'
_symmetry_Int_Tables_number 216
_symmetry_space_group_name_Hall 'F -4 2 3'
_cell_length_a 6.883
_cell_length_b 6.883
_cell_length_c 6.883
_cell_angle_alpha 90.00
_cell_angle_beta 90.00
_cell_angle_gamma 90.00
loop_
_atom_site_label
_atom_site_type_symbol
_atom_site_fract_x
_atom_site_fract_y
_atom_site_fract_z
_atom_site_occupancy
Tm1 Tm 0.000 0.000 0.000 1
U1 U 0.000 0.000 0.500 1
Ga1 Ga 0.250 0.250 0.250 1
```

Record 4
HfMo2Ir | GGA-PBE | optimized geometry

electronic total energy = -10.38 eV per atom
magnetization = 0.0 μB per cell
ΔE_f = -0.25 eV/atom

Cell and atoms, written as CIF:
```
data_HfMo2Ir
_chemical_formula_sum 'Hf4 Mo8 Ir4'
_symmetry_space_group_name_H-M 'F -4 3 m'
_symmetry_Int_Tables_number 216
_symmetry_space_group_name_Hall 'F -4 2 3'
_cell_length_a 6.414
_cell_length_b 6.414
_cell_length_c 6.414
_cell_angle_alpha 90.00
_cell_angle_beta 90.00
_cell_angle_gamma 90.00
loop_
_atom_site_label
_atom_site_type_symbol
_atom_site_fract_x
_atom_site_fract_y
_atom_site_fract_z
_atom_site_occupancy
Hf1 Hf 0.000 0.000 0.000 1
Mo1 Mo 0.000 0.000 0.500 1
Mo2 Mo 0.250 0.250 0.750 1
Ir1 Ir 0.250 0.250 0.250 1
```

Record 5
BeCu2Pb | GGA-PBE | optimized geometry

offset from the most stable computed form = 0.001 eV/atom
electronic total energy = -3.43 eV per atom

Cell and atoms, written as CIF:
```
data_BeCu2Pb
_chemical_formula_sum 'Be4 Cu8 Pb4'
_symmetry_space_group_name_H-M 'P m -3 m'
_symmetry_Int_Tables_number 221
_symmetry_space_group_name_Hall '-P 4 2 3'
_cell_length_a 6.255
_cell_length_b 6.255
_cell_length_c 6.255
_cell_angle_alpha 90.00
_cell_angle_beta 90.00
_cell_angle_gamma 90.00
loop_
_atom_site_label
_atom_site_type_symbol
_atom_site_fract_x
_atom_site_fract_y
_atom_site_fract_z
_atom_site_occupancy
Be1 Be 0.000 0.000 0.000 1
Be2 Be 0.000 0.000 0.500 1
Cu1 Cu 0.204 0.204 0.204 1
Pb1 Pb 0.000 0.500 0.500 1
Pb2 Pb 0.500 0.500 0.500 1
```

Record 6
LiB4Ir | GGA-PBE | optimized geometry

offset from the most stable computed form = 0.099 eV/atom
electronic total energy = -6.30 eV per atom
magnetization = 0.0 μB per cell

Cell and atoms, written as CIF:
```
data_LiB4Ir
_chemical_formula_sum 'Li2 B8 Ir2'
_symmetry_space_group_name_H-M 'I m m m'
_symmetry_Int_Tables_number 71
_symmetry_space_group_name_Hall '-I 2 2'
_cell_length_a 3.050
_cell_length_b 5.157
_cell_length_c 6.396
_cell_angle_alpha 90.00
_cell_angle_beta 90.00
_cell_angle_gamma 90.00
loop_
_atom_site_label
_atom_site_type_symbol
_atom_site_fract_x
_atom_site_fract_y
_atom_site_fract_z
_atom_site_occupancy
Li1 Li 0.000 0.000 0.000 1
B1 B 0.000 0.341 0.262 1
Ir1 Ir 0.000 0.000 0.500 1
```

Record 7
ZrZn | GGA-PBE | optimized geometry

electronic total energy = -4.95 eV per atom
magnetization = 0.0 μB per cell
ΔE_f = -0.04 eV/atom

Cell and atoms, written as CIF:
```
data_ZrZn
_chemical_formula_sum 'Zr8 Zn8'
_symmetry_space_group_name_H-M 'P m m n'
_symmetry_Int_Tables_number 59
_cell_length_a 4.622
_cell_length_b 13.888
_cell_length_c 4.627
_cell_angle_alpha 90.00
_cell_angle_beta 90.00
_cell_angle_gamma 90.00
loop_
_symmetry_equiv_pos_as_xyz
'x,y,z'
'-x,-y,-z'
'-x+1/2,-y+1/2,z'
'x+1/2,y+1/2,-z'
'x+1/2,-y,-z'
'-x+1/2,y,z'
'-x,y+1/2,-z'
'x,-y+1/2,z'
loop_
_atom_site_label
_atom_site_type_symbol
_atom_site_fract_x
_atom_site_fract_y
_atom_site_fract_z
_atom_site_occupancy
Zr1 Zr 0.250 0.000 0.249 1
Zr2 Zr 0.250 0.141 0.749 1
Zn1 Zn 0.250 0.250 0.249 1
Zn2 Zn 0.250 0.631 0.748 1
Zn3 Zn 0.250 0.750 0.245 1
```

Record 8
CoBi2Os | GGA-PBE | optimized geometry

electronic total energy = -5.44 eV per atom
magnetization = 8.6 μB per cell

Cell and atoms, written as CIF:
```
data_CoBi2Os
_chemical_formula_sum 'Co4 Bi8 Os4'
_symmetry_space_group_name_H-M 'F -4 3 m'
_symmetry_Int_Tables_number 216
_symmetry_space_group_name_Hall 'F -4 2 3'
_cell_length_a 6.848
_cell_length_b 6.848
_cell_length_c 6.848
_cell_angle_alpha 90.00
_cell_angle_beta 90.00
_cell_angle_gamma 90.00
loop_
_atom_site_label
_atom_site_type_symbol
_atom_site_fract_x
_atom_site_fract_y
_atom_site_fract_z
_atom_site_occupancy
Co1 Co 0.000 0.000 0.000 1
Bi1 Bi 0.000 0.000 0.500 1
Bi2 Bi 0.250 0.250 0.250 1
Os1 Os 0.250 0.250 0.750 1
```